# Mg2GaNiN GGA-PBE relaxed
data_Mg2GaNiN
_chemical_formula_sum 'Mg2 Ga1 Ni1 N1'
_cell_length_a 5.302
_cell_length_b 5.302
_cell_length_c 3.493
_cell_angle_alpha 90.00
_cell_angle_beta 90.00
_cell_angle_gamma 90.00
_symmetry_space_group_name_H-M 'P 4/m m m'
_symmetry_Int_Tables_number 123
_symmetry_space_group_name_Hall '-P 4 2'
loop_
_atom_site_label
_atom_site_fract_x
_atom_site_fract_y
_atom_site_fract_z
_atom_site_occupancy
Mg1 0.000 0.500 0.000 1
Ga1 0.000 0.000 0.000 1
Ni1 0.500 0.500 0.500 1
N1 0.000 0.000 0.500 1
# Total moment ... 0.000 μB/atom
# Formation energy from raw total energies ... 0.905 eV per atom
# N(E_F) ... 3.59 states/eV/cell